Record 1
# SbF

A relaxed structure of SbF (PBE, the Alexandria database).

```
data_SbF
_cell_length_a 8.4552
_cell_length_b 8.4552
_cell_length_c 4.2599
_cell_angle_alpha 90.00
_cell_angle_beta 90.00
_cell_angle_gamma 120.00
_symmetry_space_group_name_H-M 'P 63/m m c'
_symmetry_Int_Tables_number 194
_symmetry_space_group_name_Hall '-P 6c 2c'
loop_
_atom_site_label
_atom_site_fract_x
_atom_site_fract_y
_atom_site_fract_z
_atom_site_occupancy
Sb1 0.1601 0.3202 0.2500 1
F1 0.1220 0.5610 0.2500 1
```

Results
E_form (uncorrected): -1.179 eV per atom
Magnetization: 0.00 μB per formula unit
Energy above the most stable polymorph in this dataset: 205 meV per atom

Record 2
# SbF5

A relaxed structure of SbF5 (PBE, the Alexandria database).

```
data_SbF5
_cell_length_a 5.5467
_cell_length_b 5.5550
_cell_length_c 7.8689
_cell_angle_alpha 95.23
_cell_angle_beta 110.17
_cell_angle_gamma 112.19
_symmetry_space_group_name_H-M 'P -1'
_symmetry_Int_Tables_number 2
loop_
_symmetry_equiv_pos_as_xyz
'x,y,z'
'-x,-y,-z'
loop_
_atom_site_label
_atom_site_fract_x
_atom_site_fract_y
_atom_site_fract_z
_atom_site_occupancy
Sb1 0.0000 0.0000 0.0000 1
Sb2 0.5000 0.0000 0.5000 1
F1 0.0005 0.6984 0.8697 1
F2 0.1572 0.9043 0.2492 1
F3 0.3147 0.6586 0.5342 1
F4 0.3279 0.1375 0.6264 1
F5 0.3748 0.2122 0.0288 1
```

Results
E_form (uncorrected): -2.224 eV per atom
Magnetization: 0.00 μB per formula unit

Record 3
# SbF

A relaxed structure of SbF (PBE, the Alexandria database).

```
data_SbF
_cell_length_a 3.3021
_cell_length_b 3.3021
_cell_length_c 8.8440
_cell_angle_alpha 90.00
_cell_angle_beta 90.00
_cell_angle_gamma 120.00
_symmetry_space_group_name_H-M 'P 63 m c'
_symmetry_Int_Tables_number 186
_symmetry_space_group_name_Hall 'P 6c -2c'
loop_
_atom_site_label
_atom_site_fract_x
_atom_site_fract_y
_atom_site_fract_z
_atom_site_occupancy
Sb1 0.3333 0.6667 0.0000 1
F1 0.3333 0.6667 0.7697 1
```

Results
E_form (uncorrected): -1.282 eV per atom
Magnetization: 0.00 μB per formula unit
Energy above the most stable polymorph in this dataset: 102 meV per atom